A plane-wave DFT calculation with PBE was carried out for Nb2TeAs after structural relaxation.

Structure (CIF):
```
data_Nb2TeAs
_chemical_formula_sum 'Nb8 Te4 As4'
_cell_length_a 6.6610
_cell_length_b 6.6610
_cell_length_c 6.6610
_cell_angle_alpha 90.00
_cell_angle_beta 90.00
_cell_angle_gamma 90.00
_symmetry_space_group_name_H-M 'F m -3 m'
_symmetry_Int_Tables_number 225
_symmetry_space_group_name_Hall '-F 4 2 3'
loop_
_atom_site_label
_atom_site_type_symbol
_atom_site_fract_x
_atom_site_fract_y
_atom_site_fract_z
Nb1 Nb 0.2500 0.2500 0.2500
Te1 Te 0.0000 0.0000 0.0000
As1 As 0.0000 0.0000 0.5000
```

Calculated values
Energy relative to the lowest polymorph listed for this composition in meV/atom: 0
Spin magnetization in μB/cell: 0.0
Formation energy from raw total energies in eV per atom: -0.20
E_tot in eV/atom: -7.18